(1)
Below is an optimized crystal structure of LaHo6Th8, with properties calculated at the PBE level.

Results
formation energy from the elements: 0.135 eV/atom
SG: R-3
calculated volume: 32.27 A^3/atom

Cell: 8.829 8.829 8.798 Å, 59.89 59.89 60.00°
Fractional coordinates of all 15 atoms:
La 0.000 0.000 0.000
Ho 0.068 0.530 0.128
Ho 0.725 0.932 0.872
Ho 0.470 0.725 0.872
Ho 0.530 0.275 0.128
Ho 0.275 0.068 0.128
Ho 0.932 0.470 0.872
Th 0.877 0.337 0.594
Th 0.808 0.123 0.406
Th 0.663 0.808 0.406
Th 0.422 0.422 0.733
Th 0.578 0.578 0.267
Th 0.337 0.192 0.594
Th 0.192 0.877 0.594
Th 0.123 0.663 0.406

(2)
Below is an optimized crystal structure of La2Ho12Th, with properties calculated at the PBE level.

Results
formation energy from the elements: 0.171 eV/atom
SG: Pmmm
calculated volume: 33.04 A^3/atom

Cell: 6.697 6.697 24.768 Å, 89.99 89.99 116.87°
Fractional coordinates of all 30 atoms:
La 0.500 0.000 0.268
La 0.000 0.500 0.268
La 0.000 0.500 0.732
La 0.500 0.000 0.732
Ho 0.500 0.500 0.802
Ho 0.000 0.000 0.802
Ho 0.750 0.750 0.924
Ho 0.250 0.750 0.876
Ho 0.000 0.000 0.327
Ho 0.250 0.750 0.124
Ho 0.750 0.250 0.585
Ho 0.500 0.500 0.327
Ho 0.250 0.250 0.924
Ho 0.750 0.750 0.076
Ho 0.250 0.250 0.562
Ho 0.750 0.250 0.415
Ho 0.000 0.000 0.673
Ho 0.250 0.250 0.438
Ho 0.250 0.250 0.076
Ho 0.750 0.750 0.438
Ho 0.750 0.750 0.562
Ho 0.000 0.000 0.198
Ho 0.250 0.750 0.585
Ho 0.500 0.500 0.673
Ho 0.750 0.250 0.876
Ho 0.500 0.500 0.198
Ho 0.250 0.750 0.415
Ho 0.750 0.250 0.124
Th 0.500 0.000 0.000
Th 0.000 0.500 0.000